Record 1
The following is a PBE-GGA calculation of a relaxed V2AsPd8 crystal, from Alexandria via LeMat-Bulk.

Calculated values
DFT total energy ... -66.6 eV per cell
Magnetic moment ... 0.000 μB per formula unit
Crystal system ... monoclinic

Cell lengths 4.1403, 5.4490, 8.2913 Å; angles 107.16, 104.46, 90.00 degrees
Fractional coordinates of all 11 atoms:
V: 0.8142 0.2501 0.6283
V: 0.1858 0.7499 0.3717
As: 0.5000 0.0000 0.0000
Pd: 0.4013 0.5423 0.8027
Pd: 0.6530 0.9849 0.3060
Pd: 0.7789 0.6731 0.5579
Pd: 0.9693 0.2297 0.9387
Pd: 0.2211 0.3269 0.4421
Pd: 0.3470 0.0151 0.6940
Pd: 0.5987 0.4577 0.1973
Pd: 0.0307 0.7703 0.0613



Record 2
The following is a PBE-GGA calculation of a relaxed VAsPd3 crystal, from Alexandria via LeMat-Bulk.

Calculated values
Energy above the most stable polymorph in this dataset ... 39.5 kJ/mol of atoms
Magnetic moment ... 1.340 μB per formula unit
Crystal system ... cubic

Cell lengths 4.6237, 4.6237, 4.6237 Å; angles 90.00, 90.00, 90.00 degrees
Each line ends with the local moment (μB).
Fractional coordinates of all 5 atoms:
As: 0.5000 0.5000 0.5000  -0.01
Pd: 0.0000 0.5000 0.0000  0.02
Pd: 0.0000 0.0000 0.5000  0.02
Pd: 0.5000 0.0000 0.0000  0.02
V: 0.0000 0.0000 0.0000  1.21



Record 3
The following is a PBE-GGA calculation of a relaxed V2AsPd2 crystal, from Alexandria via LeMat-Bulk.

Calculated values
DFT total energy ... -67.4 eV per cell
Magnetic moment ... 0.006 μB per formula unit
Crystal system ... tetragonal

Cell lengths 6.1730, 6.1730, 4.1389 Å; angles 90.00, 90.00, 90.00 degrees
Fractional coordinates of all 10 atoms:
As: 0.0000 0.0000 0.0000
As: 0.5000 0.5000 0.0000
Pd: 0.1518 0.6518 0.5000
Pd: 0.6518 0.8482 0.5000
Pd: 0.8482 0.3482 0.5000
Pd: 0.3482 0.1518 0.5000
V: 0.3710 0.8710 0.0000
V: 0.8710 0.6290 0.0000
V: 0.6290 0.1290 0.0000
V: 0.1290 0.3710 0.0000



Record 4
The following is a PBE-GGA calculation of a relaxed VAsPd5 crystal, from Alexandria via LeMat-Bulk.

Calculated values
DFT total energy ... -78.9 eV per cell
Magnetic moment ... 0.357 μB per formula unit
Crystal system ... monoclinic

Cell lengths 6.4810, 6.4810, 7.2214 Å; angles 64.41, 64.41, 82.85 degrees
Each line ends with the local moment (μB).
Fractional coordinates of all 14 atoms:
V: 0.5187 0.4813 0.2500  0.36
V: 0.4813 0.5187 0.7500  0.36
As: 0.0000 0.0000 0.0000  0.00
As: 0.0000 0.0000 0.5000  0.00
Pd: 0.6228 0.7755 0.3369  -0.01
Pd: 0.1727 0.6204 0.4824  0.00
Pd: 0.7755 0.6228 0.8369  -0.01
Pd: 0.8008 0.1992 0.2500  -0.01
Pd: 0.3796 0.8273 0.0176  0.00
Pd: 0.6204 0.1727 0.9824  0.00
Pd: 0.1992 0.8008 0.7500  -0.01
Pd: 0.2245 0.3772 0.1631  -0.01
Pd: 0.8273 0.3796 0.5176  0.00
Pd: 0.3772 0.2245 0.6631  -0.01



Record 5
The following is a PBE-GGA calculation of a relaxed V2As2Pd crystal, from Alexandria via LeMat-Bulk.

Calculated values
Energy above the most stable polymorph in this dataset ... 0.0 kJ/mol of atoms
Magnetic moment ... 0.000 μB per formula unit
Crystal system ... tetragonal

Cell lengths 6.9161, 6.9161, 3.1528 Å; angles 90.00, 90.00, 90.00 degrees
Fractional coordinates of all 10 atoms:
As: 0.3465 0.8465 0.0000
As: 0.8465 0.6535 0.0000
As: 0.6535 0.1535 0.0000
As: 0.1535 0.3465 0.0000
Pd: 0.0000 0.0000 0.0000
Pd: 0.5000 0.5000 0.0000
V: 0.1367 0.6367 0.5000
V: 0.6367 0.8633 0.5000
V: 0.8633 0.3633 0.5000
V: 0.3633 0.1367 0.5000



Record 6
The following is a PBE-GGA calculation of a relaxed V2As3Pd3 crystal, from Alexandria via LeMat-Bulk.

Calculated values
DFT total energy ... -100.7 eV per cell
Magnetic moment ... 0.003 μB per formula unit
Crystal system ... hexagonal

Cell lengths 5.2000, 7.3399, 7.3399 Å; angles 120.00, 90.00, 90.00 degrees
Fractional coordinates of all 16 atoms:
V: 0.0000 0.3333 0.6667
V: 0.5000 0.6667 0.3333
V: 0.0000 0.6667 0.3333
V: 0.5000 0.3333 0.6667
As: 0.7500 0.6040 0.0000
As: 0.7500 0.3960 0.3960
As: 0.7500 0.0000 0.6040
As: 0.2500 0.3960 0.0000
As: 0.2500 0.6040 0.6040
As: 0.2500 0.0000 0.3960
Pd: 0.7500 0.2425 0.0000
Pd: 0.7500 0.7575 0.7575
Pd: 0.7500 0.0000 0.2425
Pd: 0.2500 0.7575 0.0000
Pd: 0.2500 0.2425 0.2425
Pd: 0.2500 0.0000 0.7575



Record 7
The following is a PBE-GGA calculation of a relaxed VAsPd2 crystal, from Alexandria via LeMat-Bulk.

Calculated values
DFT total energy ... -25.0 eV per cell
Magnetic moment ... 1.800 μB per formula unit
Crystal system ... tetragonal

Cell lengths 4.1202, 3.8424, 3.8424 Å; angles 90.00, 90.00, 90.00 degrees
Each line ends with the local moment (μB).
Fractional coordinates of all 4 atoms:
As: 0.5000 0.0000 0.0000  -0.09
Pd: 0.0000 0.0000 0.5000  -0.04
Pd: 0.0000 0.5000 0.0000  -0.04
V: 0.5000 0.5000 0.5000  1.78



Record 8
The following is a PBE-GGA calculation of a relaxed VAs3Pd crystal, from Alexandria via LeMat-Bulk.

Calculated values
Energy above the most stable polymorph in this dataset ... 0.0 kJ/mol of atoms
Magnetic moment ... 0.000 μB per formula unit
Crystal system ... cubic

Cell lengths 4.6862, 4.6862, 4.6862 Å; angles 90.00, 90.00, 90.00 degrees
Fractional coordinates of all 5 atoms:
As: 0.0000 0.5000 0.0000
As: 0.0000 0.0000 0.5000
As: 0.5000 0.0000 0.0000
Pd: 0.5000 0.5000 0.5000
V: 0.0000 0.0000 0.0000



> Which formula does entry 4 have?

VAsPd5



> Number 6 is which compound?

V2As3Pd3



> What is the magnetic moment in the second record?

1.340 μB per formula unit